Ho4InHg2Rh | the Alexandria database | PBE-GGA | optimized geometry; E = -0.309 Ry per atom; crystal system = trigonal; Fermi-level density of states = 0.7571 states/eV per atom
1.0
2.5849 1.4924 8.3439
-2.5849 1.4924 8.3439
0.0000 -2.9848 8.3439
Ho In Hg Rh
4 1 2 1
Direct
0.1138 0.1138 0.1138
0.3677 0.3677 0.3677
0.6323 0.6323 0.6323
0.8862 0.8862 0.8862
0.5000 0.5000 0.5000
0.2412 0.2412 0.2412
0.7588 0.7588 0.7588
0.0000 0.0000 0.0000